1.
PmSc4Pt3O12 | Alexandria via LeMat-Bulk | GGA-PBE | optimized geometry; density of states at the Fermi level = 0.786 states/eV per atom; ΔE_f (raw) = -2244.8 meV/atom; SG = No. 204
1.0
-3.929 3.929 3.929
3.929 -3.929 3.929
3.929 3.929 -3.929
Pm Sc Pt O
1 4 3 12
direct
0.000 0.000 0.000 Pm
0.000 0.000 0.500 Sc
0.000 0.500 0.000 Sc
0.500 0.000 0.000 Sc
0.500 0.500 0.500 Sc
0.000 0.500 0.500 Pt
0.500 0.000 0.500 Pt
0.500 0.500 0.000 Pt
0.137 0.302 0.836 O
0.164 0.466 0.302 O
0.164 0.863 0.698 O
0.302 0.164 0.466 O
0.302 0.836 0.137 O
0.466 0.302 0.164 O
0.534 0.698 0.836 O
0.698 0.164 0.863 O
0.698 0.836 0.534 O
0.836 0.137 0.302 O
0.836 0.534 0.698 O
0.863 0.698 0.164 O



2.
PmSmIr | Alexandria via LeMat-Bulk | GGA-PBE | optimized geometry; density of states at the Fermi level = 1.030 states/eV per atom; energy of formation = -409 meV per atom; energy above the most stable polymorph in this dataset = 0.486 eV/f.u.; SG = No. 107
1.0
-1.825 1.825 5.905
1.825 -1.825 5.905
1.825 1.825 -5.905
Pm Sm Ir
1 1 1
direct
0.000 0.000 0.000 Pm
0.734 0.734 0.000 Sm
0.366 0.366 0.000 Ir



3.
CdAsAu | Alexandria via LeMat-Bulk | GGA-PBE | optimized geometry; density of states at the Fermi level = 0.540 states/eV per atom; energy of formation = 145 meV per atom; SG = No. 156
1.0
3.053 0.000 0.000
-1.526 2.644 0.000
0.000 0.000 7.361
Cd As Au
1 1 1
direct
0.000 0.000 0.000 Cd
0.333 0.667 0.358 As
0.667 0.333 0.672 Au



4.
ZnPRhS2 | Alexandria via LeMat-Bulk | GGA-PBE | optimized geometry; density of states at the Fermi level = 0.840 states/eV per atom; energy above the most stable polymorph in this dataset = 0.000 eV/f.u.; ΔE_f (raw) = 494.7 meV/atom; SG = No. 123
1.0
4.858 0.000 0.000
0.000 4.858 0.000
0.000 0.000 4.331
Zn P Rh S
1 1 1 2
direct
0.000 0.000 0.000 Zn
0.500 0.500 0.000 P
0.500 0.500 0.500 Rh
0.000 0.500 0.500 S
0.500 0.000 0.500 S



5.
Tl5AgSb2 | Alexandria via LeMat-Bulk | GGA-PBE | optimized geometry; density of states at the Fermi level = 0.422 states/eV per atom; ΔE_f (raw) = 15.9 meV/atom; SG = No. 63
1.0
2.235 -5.977 0.000
2.235 5.977 0.000
0.000 0.000 17.742
Tl Ag Sb
10 2 4
direct
0.028 0.972 0.750 Tl
0.149 0.851 0.530 Tl
0.149 0.851 0.970 Tl
0.452 0.548 0.605 Tl
0.452 0.548 0.895 Tl
0.548 0.452 0.105 Tl
0.548 0.452 0.395 Tl
0.851 0.149 0.030 Tl
0.851 0.149 0.470 Tl
0.972 0.028 0.250 Tl
0.302 0.698 0.750 Ag
0.698 0.302 0.250 Ag
0.259 0.741 0.158 Sb
0.259 0.741 0.342 Sb
0.741 0.259 0.658 Sb
0.741 0.259 0.842 Sb



6.
ErFe12B4 | Alexandria via LeMat-Bulk | GGA-PBE | optimized geometry; density of states at the Fermi level = 0.695 states/eV per atom; energy of formation = 47 meV per atom; SG = No. 204
1.0
-3.645 3.645 3.645
3.645 -3.645 3.645
3.645 3.645 -3.645
Er Fe B
1 12 4
direct
0.000 0.000 0.000 Er
0.164 0.825 0.339 Fe
0.175 0.339 0.513 Fe
0.175 0.661 0.836 Fe
0.339 0.164 0.825 Fe
0.339 0.513 0.175 Fe
0.487 0.825 0.661 Fe
0.513 0.175 0.339 Fe
0.661 0.487 0.825 Fe
0.661 0.836 0.175 Fe
0.825 0.339 0.164 Fe
0.825 0.661 0.487 Fe
0.836 0.175 0.661 Fe
0.000 0.000 0.500 B
0.000 0.500 0.000 B
0.500 0.000 0.000 B
0.500 0.500 0.500 B



7.
Mn2IrRu | Alexandria via LeMat-Bulk | GGA-PBE | optimized geometry; density of states at the Fermi level = 0.942 states/eV per atom; energy of formation = -35 meV per atom; SG = No. 123
1.0
3.747 0.000 0.000
0.000 3.747 0.000
0.000 0.000 3.643
Mn Ir Ru
2 1 1
direct
0.000 0.500 0.000 Mn
0.500 0.000 0.000 Mn
0.000 0.000 0.500 Ir
0.500 0.500 0.500 Ru



8.
Be2CdRu | Alexandria via LeMat-Bulk | GGA-PBE | optimized geometry; density of states at the Fermi level = 0.312 states/eV per atom; energy of formation = -95 meV per atom; SG = No. 123
1.0
2.989 0.000 0.000
0.000 2.989 0.000
0.000 0.000 5.716
Be Cd Ru
2 1 1
direct
0.000 0.000 0.184 Be
0.000 0.000 0.816 Be
0.500 0.500 0.500 Cd
0.500 0.500 0.000 Ru



9.
CsBe2TcO | Alexandria via LeMat-Bulk | GGA-PBE | optimized geometry; density of states at the Fermi level = 1.222 states/eV per atom; ΔE_f (raw) = 1305.2 meV/atom; SG = No. 123
1.0
4.226 0.000 0.000
0.000 4.226 0.000
0.000 0.000 5.749
Cs Be Tc O
1 2 1 1
direct
0.000 0.000 0.000 Cs
0.000 0.500 0.500 Be
0.500 0.000 0.500 Be
0.000 0.000 0.500 Tc
0.500 0.500 0.000 O



10.
TbHoCoPd | Alexandria via LeMat-Bulk | GGA-PBE | optimized geometry; density of states at the Fermi level = 0.615 states/eV per atom; energy of formation = -489 meV per atom; SG = No. 216
1.0
0.000 3.428 3.428
3.428 0.000 3.428
3.428 3.428 0.000
Tb Ho Co Pd
1 1 1 1
direct
0.000 0.000 0.000 Tb
0.500 0.500 0.500 Ho
0.750 0.750 0.750 Co
0.250 0.250 0.250 Pd



11.
NpMnAl11 | Alexandria via LeMat-Bulk | GGA-PBE | optimized geometry; density of states at the Fermi level = 0.922 states/eV per atom; energy of formation = -102 meV per atom; SG = No. 12
1.0
2.593 -6.317 0.000
2.593 6.317 0.000
-2.465 0.000 6.578
Np Mn Al
1 1 11
direct
0.000 0.000 0.000 Np
0.500 0.500 0.500 Mn
0.000 0.000 0.500 Al
0.000 0.500 0.000 Al
0.025 0.367 0.361 Al
0.290 0.501 0.778 Al
0.367 0.025 0.361 Al
0.499 0.710 0.222 Al
0.500 0.000 0.000 Al
0.501 0.290 0.778 Al
0.633 0.975 0.639 Al
0.710 0.499 0.222 Al
0.975 0.633 0.639 Al



12.
Th2MgTiN5 | Alexandria via LeMat-Bulk | GGA-PBE | optimized geometry; density of states at the Fermi level = 0.424 states/eV per atom; ΔE_f (raw) = -1267.3 meV/atom; SG = No. 36
1.0
1.774 -6.726 0.000
1.774 6.726 0.000
0.000 0.000 9.981
Th Mg Ti N
4 2 2 10
direct
0.120 0.880 0.500 Th
0.138 0.862 0.098 Th
0.862 0.138 0.598 Th
0.880 0.120 0.000 Th
0.213 0.787 0.807 Mg
0.787 0.213 0.307 Mg
0.472 0.528 0.286 Ti
0.528 0.472 0.786 Ti
0.051 0.949 0.862 N
0.290 0.710 0.468 N
0.314 0.686 0.164 N
0.378 0.622 0.812 N
0.500 0.500 0.095 N
0.500 0.500 0.595 N
0.622 0.378 0.312 N
0.686 0.314 0.664 N
0.710 0.290 0.968 N
0.949 0.051 0.362 N



Question: density of states at the Fermi level of number 5 (Tl5AgSb2)?
Answer: 0.422 states/eV per atom



Question: Among the records above, which one has the highest density of states at the Fermi level?
Answer: CsBe2TcO



Question: What is the density of states at the Fermi level in the fifth record?
Answer: 0.422 states/eV per atom